(1)
# PmEuY

An optimized crystal structure of PmEuY (GGA-PBE, Alexandria via LeMat-Bulk).

Density of states at the Fermi level   3.69 states/eV per cell
DFT formation energy   0.043 eV/atom

Cell and atoms, written as CIF:
```
data_PmEuY
_chemical_formula_sum 'Pm1 Eu1 Y1'
_cell_length_a 3.6851
_cell_length_b 3.6851
_cell_length_c 9.0408
_cell_angle_alpha 90.00
_cell_angle_beta 90.00
_cell_angle_gamma 120.00
_symmetry_space_group_name_H-M 'P 3 m 1'
_symmetry_Int_Tables_number 156
_symmetry_space_group_name_Hall 'P 3 -2"'
loop_
_atom_site_label
_atom_site_type_symbol
_atom_site_fract_x
_atom_site_fract_y
_atom_site_fract_z
_atom_site_occupancy
Pm1 Pm 0.0000 0.0000 0.0000 1
Eu1 Eu 0.3333 0.6667 0.6526 1
Y1 Y 0.6667 0.3333 0.3125 1
```


(2)
# Na2CaNiSe

An optimized crystal structure of Na2CaNiSe (GGA-PBE, Alexandria via LeMat-Bulk).

Formation energy from raw total energies   -0.1055 eV per atom
Density of states at the Fermi level   0.00 states/eV per cell

Cell and atoms, written as CIF:
```
data_Na2CaNiSe
_chemical_formula_sum 'Na2 Ca1 Ni1 Se1'
_cell_length_a 5.017
_cell_length_b 5.017
_cell_length_c 5.260
_cell_angle_alpha 90.00
_cell_angle_beta 90.00
_cell_angle_gamma 90.00
_symmetry_space_group_name_H-M 'P 4/m m m'
_symmetry_Int_Tables_number 123
_symmetry_space_group_name_Hall '-P 4 2'
loop_
_atom_site_label
_atom_site_type_symbol
_atom_site_fract_x
_atom_site_fract_y
_atom_site_fract_z
_atom_site_occupancy
Na1 Na 0.000 0.500 0.000 1
Ca1 Ca 0.000 0.000 0.500 1
Ni1 Ni 0.000 0.000 0.000 1
Se1 Se 0.500 0.500 0.500 1
```


(3)
# La3DyGa4

An optimized crystal structure of La3DyGa4 (GGA-PBE, Alexandria via LeMat-Bulk).

Density of states at the Fermi level   4.25 states/eV per cell
DFT formation energy   -0.576 eV/atom

Cell and atoms, written as CIF:
```
data_La3DyGa4
_chemical_formula_sum 'La3 Dy1 Ga4'
_cell_length_a 3.711
_cell_length_b 3.711
_cell_length_c 14.959
_cell_angle_alpha 90.00
_cell_angle_beta 90.00
_cell_angle_gamma 90.00
_symmetry_space_group_name_H-M 'P 4/m m m'
_symmetry_Int_Tables_number 123
_symmetry_space_group_name_Hall '-P 4 2'
loop_
_atom_site_label
_atom_site_type_symbol
_atom_site_fract_x
_atom_site_fract_y
_atom_site_fract_z
_atom_site_occupancy
La1 La 0.000 0.000 0.000 1
La2 La 0.000 0.000 0.257 1
Dy1 Dy 0.000 0.000 0.500 1
Ga1 Ga 0.500 0.500 0.129 1
Ga2 Ga 0.500 0.500 0.391 1
```


(4)
# LiSb2

An optimized crystal structure of LiSb2 (GGA-PBE, Alexandria via LeMat-Bulk).

Formation energy from raw total energies   -0.2420 eV per atom
ΔE to the lowest computed polymorph   0 meV/atom
Density of states at the Fermi level   2.14 states/eV per cell

Cell and atoms, written as CIF:
```
data_LiSb2
_chemical_formula_sum 'Li2 Sb4'
_cell_length_a 6.749
_cell_length_b 6.749
_cell_length_c 3.175
_cell_angle_alpha 90.00
_cell_angle_beta 90.00
_cell_angle_gamma 90.00
_symmetry_space_group_name_H-M 'P 4/m b m'
_symmetry_Int_Tables_number 127
_symmetry_space_group_name_Hall '-P 4 2ab'
loop_
_atom_site_label
_atom_site_type_symbol
_atom_site_fract_x
_atom_site_fract_y
_atom_site_fract_z
_atom_site_occupancy
Li1 Li 0.000 0.000 0.000 1
Sb1 Sb 0.154 0.346 0.500 1
```


(5)
# Ac2InRhO6

An optimized crystal structure of Ac2InRhO6 (GGA-PBE, Alexandria via LeMat-Bulk).

Formation energy from raw total energies   -2.1544 eV per atom

Cell and atoms, written as CIF:
```
data_Ac2InRhO6
_chemical_formula_sum 'Ac4 In2 Rh2 O12'
_cell_length_a 5.792
_cell_length_b 8.248
_cell_length_c 5.962
_cell_angle_alpha 90.00
_cell_angle_beta 90.00
_cell_angle_gamma 90.00
_symmetry_space_group_name_H-M 'P m m n'
_symmetry_Int_Tables_number 59
loop_
_symmetry_equiv_pos_as_xyz
'x,y,z'
'-x,-y,-z'
'-x+1/2,-y+1/2,z'
'x+1/2,y+1/2,-z'
'x+1/2,-y,-z'
'-x+1/2,y,z'
'-x,y+1/2,-z'
'x,-y+1/2,z'
loop_
_atom_site_label
_atom_site_type_symbol
_atom_site_fract_x
_atom_site_fract_y
_atom_site_fract_z
_atom_site_occupancy
Ac1 Ac 0.250 0.016 0.225 1
In1 In 0.250 0.250 0.731 1
Rh1 Rh 0.250 0.750 0.763 1
O1 O 0.005 0.250 0.000 1
O2 O 0.012 0.250 0.466 1
O3 O 0.250 0.503 0.788 1
```


(6)
# HgCN2

An optimized crystal structure of HgCN2 (GGA-PBE, Alexandria via LeMat-Bulk).

Formation energy from raw total energies   3.3219 eV per atom
Density of states at the Fermi level   7.21 states/eV per cell

Cell and atoms, written as CIF:
```
data_HgCN2
_chemical_formula_sum 'Hg4 C4 N8'
_cell_length_a 5.628
_cell_length_b 5.628
_cell_length_c 5.628
_cell_angle_alpha 90.00
_cell_angle_beta 90.00
_cell_angle_gamma 90.00
_symmetry_space_group_name_H-M 'F m -3 m'
_symmetry_Int_Tables_number 225
_symmetry_space_group_name_Hall '-F 4 2 3'
loop_
_atom_site_label
_atom_site_type_symbol
_atom_site_fract_x
_atom_site_fract_y
_atom_site_fract_z
_atom_site_occupancy
Hg1 Hg 0.000 0.000 0.000 1
C1 C 0.000 0.000 0.500 1
N1 N 0.250 0.250 0.250 1
```


(7)
# Nb3Os

An optimized crystal structure of Nb3Os (GGA-PBE, Alexandria via LeMat-Bulk).

Density of states at the Fermi level   4.39 states/eV per cell
DFT formation energy   0.389 eV/atom

Cell and atoms, written as CIF:
```
data_Nb3Os
_chemical_formula_sum 'Nb3 Os1'
_cell_length_a 2.783
_cell_length_b 2.924
_cell_length_c 8.952
_cell_angle_alpha 90.00
_cell_angle_beta 90.00
_cell_angle_gamma 90.00
_symmetry_space_group_name_H-M 'P m m 2'
_symmetry_Int_Tables_number 25
_symmetry_space_group_name_Hall 'P 2 -2'
loop_
_atom_site_label
_atom_site_type_symbol
_atom_site_fract_x
_atom_site_fract_y
_atom_site_fract_z
_atom_site_occupancy
Nb1 Nb 0.000 0.000 0.000 1
Nb2 Nb 0.000 0.500 0.286 1
Nb3 Nb 0.500 0.500 0.742 1
Os1 Os 0.500 0.000 0.498 1
```


(8)
# K2Cd7Ag

An optimized crystal structure of K2Cd7Ag (GGA-PBE, Alexandria via LeMat-Bulk).

ΔE to the lowest computed polymorph   96 meV/atom
Density of states at the Fermi level   16.12 states/eV per cell
DFT formation energy   0.049 eV/atom

Cell and atoms, written as CIF:
```
data_K2Cd7Ag
_chemical_formula_sum 'K8 Cd28 Ag4'
_cell_length_a 10.958
_cell_length_b 10.958
_cell_length_c 10.958
_cell_angle_alpha 90.00
_cell_angle_beta 90.00
_cell_angle_gamma 90.00
_symmetry_space_group_name_H-M 'F m -3 m'
_symmetry_Int_Tables_number 225
_symmetry_space_group_name_Hall '-F 4 2 3'
loop_
_atom_site_label
_atom_site_type_symbol
_atom_site_fract_x
_atom_site_fract_y
_atom_site_fract_z
_atom_site_occupancy
K1 K 0.250 0.250 0.250 1
Cd1 Cd 0.000 0.000 0.000 1
Cd2 Cd 0.000 0.000 0.254 1
Ag1 Ag 0.000 0.000 0.500 1
```


(9)
# Ni2HgPt

An optimized crystal structure of Ni2HgPt (GGA-PBE, Alexandria via LeMat-Bulk).

Density of states at the Fermi level   18.62 states/eV per cell
DFT formation energy   0.432 eV/atom

Cell and atoms, written as CIF:
```
data_Ni2HgPt
_chemical_formula_sum 'Ni8 Hg4 Pt4'
_cell_length_a 3.859
_cell_length_b 3.859
_cell_length_c 17.781
_cell_angle_alpha 90.00
_cell_angle_beta 90.00
_cell_angle_gamma 90.00
_symmetry_space_group_name_H-M 'I -4 2 d'
_symmetry_Int_Tables_number 122
_symmetry_space_group_name_Hall 'I -4 2bw'
loop_
_atom_site_label
_atom_site_type_symbol
_atom_site_fract_x
_atom_site_fract_y
_atom_site_fract_z
_atom_site_occupancy
Ni1 Ni 0.197 0.250 0.125 1
Hg1 Hg 0.000 0.000 0.500 1
Pt1 Pt 0.000 0.000 0.000 1
```


(10)
# GeTeW

An optimized crystal structure of GeTeW (GGA-PBE, Alexandria via LeMat-Bulk).

Formation energy from raw total energies   0.2802 eV per atom
ΔE to the lowest computed polymorph   76 meV/atom
Density of states at the Fermi level   6.05 states/eV per cell

Cell and atoms, written as CIF:
```
data_GeTeW
_chemical_formula_sum 'Ge4 Te4 W4'
_cell_length_a 13.440
_cell_length_b 3.156
_cell_length_c 8.378
_cell_angle_alpha 90.00
_cell_angle_beta 125.44
_cell_angle_gamma 90.00
_symmetry_space_group_name_H-M 'C 1 m 1'
_symmetry_Int_Tables_number 8
_symmetry_space_group_name_Hall 'C -2y'
loop_
_atom_site_label
_atom_site_type_symbol
_atom_site_fract_x
_atom_site_fract_y
_atom_site_fract_z
_atom_site_occupancy
Ge1 Ge 0.000 0.000 0.000 1
Ge2 Ge 0.094 0.000 0.358 1
Te1 Te 0.199 0.000 0.947 1
Te2 Te 0.384 0.000 0.489 1
W1 W 0.137 0.500 0.634 1
W2 W 0.321 0.000 0.744 1
```


(11)
# YTaCd3

An optimized crystal structure of YTaCd3 (GGA-PBE, Alexandria via LeMat-Bulk).

ΔE to the lowest computed polymorph   0 meV/atom
Density of states at the Fermi level   7.81 states/eV per cell
DFT formation energy   0.817 eV/atom

Cell and atoms, written as CIF:
```
data_YTaCd3
_chemical_formula_sum 'Y1 Ta1 Cd3'
_cell_length_a 5.265
_cell_length_b 5.265
_cell_length_c 5.265
_cell_angle_alpha 90.00
_cell_angle_beta 90.00
_cell_angle_gamma 90.00
_symmetry_space_group_name_H-M 'P m -3 m'
_symmetry_Int_Tables_number 221
_symmetry_space_group_name_Hall '-P 4 2 3'
loop_
_atom_site_label
_atom_site_type_symbol
_atom_site_fract_x
_atom_site_fract_y
_atom_site_fract_z
_atom_site_occupancy
Y1 Y 0.000 0.000 0.000 1
Ta1 Ta 0.500 0.500 0.500 1
Cd1 Cd 0.000 0.500 0.500 1
```


(12)
# K2SiRh

An optimized crystal structure of K2SiRh (GGA-PBE, Alexandria via LeMat-Bulk).

Formation energy from raw total energies   0.5711 eV per atom
Density of states at the Fermi level   1.80 states/eV per cell

Cell and atoms, written as CIF:
```
data_K2SiRh
_chemical_formula_sum 'K2 Si1 Rh1'
_cell_length_a 3.451
_cell_length_b 5.195
_cell_length_c 5.296
_cell_angle_alpha 90.00
_cell_angle_beta 90.00
_cell_angle_gamma 90.00
_symmetry_space_group_name_H-M 'P m m m'
_symmetry_Int_Tables_number 47
_symmetry_space_group_name_Hall '-P 2 2'
loop_
_atom_site_label
_atom_site_type_symbol
_atom_site_fract_x
_atom_site_fract_y
_atom_site_fract_z
_atom_site_occupancy
K1 K 0.000 0.248 0.000 1
Si1 Si 0.500 0.500 0.500 1
Rh1 Rh 0.500 0.000 0.500 1
```


Uncorrected energy values (in eV per atom) by entry order: -7.120 -2.887 -4.513 -3.628 -6.960 -3.222 -9.971 -1.096 -4.044 -6.624 -3.396 -3.171.